This record from Alexandria describes a relaxed LaCeHo2Hg4 crystal. The functional is PBE-GGA.

Lattice parameters (Å, degrees): 5.3669 5.3669 9.3191 73.26 73.26 60.00
Element x y z (fractional)
Ce 0.5000 0.5000 0.5000
Ho 0.2489 0.2489 0.2534
Hg 0.3767 0.3767 0.8699
Hg 0.6233 0.6233 0.1301
Ho 0.7511 0.7511 0.7466
Hg 0.8739 0.8739 0.3784
Hg 0.1261 0.1261 0.6216
La 0.0000 0.0000 0.0000

Space-group type: R-3m, No. 166
Size of the total moment: 2.01 Bohr magnetons per cell
Formation energy: -0.420 eV per atom

This record from Alexandria describes a relaxed Li3NdPd4 crystal. The functional is PBE-GGA.

Lattice parameters (Å, degrees): 4.3044 6.9876 8.6093 90.00 90.00 90.00
Element x y z (fractional)
Pd 0.5000 0.2190 0.5000
Li 0.5001 0.0000 0.2500
Pd 0.5000 0.7810 0.0000
Pd 0.5000 0.7810 0.5000
Nd 0.0000 0.5000 0.0000
Nd 0.0000 0.5000 0.5000
Li 0.4999 0.0000 0.7500
Pd 0.0001 0.7810 0.2500
Pd 0.9999 0.2190 0.7500
Pd 0.0001 0.2190 0.2500
Li 0.4998 0.5000 0.2500
Li 0.0000 0.0000 0.0000
Pd 0.5000 0.2190 0.0000
Pd 0.9999 0.7810 0.7500
Li 0.0000 0.0000 0.5000
Li 0.5002 0.5000 0.7500

Space-group type: P4/mmm, No. 123
Size of the total moment: 0.00 Bohr magnetons per cell
Formation energy: -0.534 eV per atom